# TbSmDy4Er2 | the Alexandria database | PBE | optimized geometry
data_TbSmDy4Er2
_chemical_formula_sum 'Tb4 Sm4 Dy16 Er8'
_symmetry_space_group_name_H-M 'C 1 2/m 1'
_symmetry_Int_Tables_number 12
_symmetry_space_group_name_Hall '-C 2y'
_cell_length_a 12.281
_cell_length_b 7.090
_cell_length_c 12.270
_cell_angle_alpha 90.00
_cell_angle_beta 109.48
_cell_angle_gamma 90.00
loop_
_atom_site_label
_atom_site_fract_x
_atom_site_fract_y
_atom_site_fract_z
Tb1 0.250 0.250 0.000
Sm1 0.000 0.000 0.000
Sm2 0.000 0.000 0.500
Dy1 0.000 0.250 0.251
Dy2 0.250 0.000 0.251
Dy3 0.250 0.000 0.750
Er1 0.000 0.500 0.000
Er2 0.000 0.500 0.500
Er3 0.250 0.250 0.500
# **Calculated total energy**: -4.595 eV/atom

=====

# Th2ZrBi2 | the Alexandria database | PBE | optimized geometry
data_Th2ZrBi2
_chemical_formula_sum 'Th8 Zr4 Bi8'
_symmetry_space_group_name_H-M 'C m c 21'
_symmetry_Int_Tables_number 36
_symmetry_space_group_name_Hall 'C 2c -2'
_cell_length_a 5.297
_cell_length_b 17.241
_cell_length_c 6.483
_cell_angle_alpha 90.00
_cell_angle_beta 90.00
_cell_angle_gamma 90.00
loop_
_atom_site_label
_atom_site_fract_x
_atom_site_fract_y
_atom_site_fract_z
Th1 0.000 0.000 0.000
Th2 0.000 0.197 0.251
Zr1 0.000 0.398 0.250
Bi1 0.000 0.182 0.751
Bi2 0.000 0.421 0.750
# **Calculated total energy**: -6.622 eV/atom

=====

# Pm5NiBi2 | the Alexandria database | PBE | optimized geometry
data_Pm5NiBi2
_chemical_formula_sum 'Pm20 Ni4 Bi8'
_symmetry_space_group_name_H-M 'C m c m'
_symmetry_Int_Tables_number 63
_symmetry_space_group_name_Hall '-C 2c 2'
_cell_length_a 5.548
_cell_length_b 16.751
_cell_length_c 13.704
_cell_angle_alpha 90.00
_cell_angle_beta 90.00
_cell_angle_gamma 90.00
loop_
_atom_site_label
_atom_site_fract_x
_atom_site_fract_y
_atom_site_fract_z
Pm1 0.000 0.057 0.110
Pm2 0.000 0.276 0.091
Pm3 0.000 0.307 0.750
Ni1 0.000 0.169 0.250
Bi1 0.000 0.137 0.604
# **Calculated total energy**: -4.804 eV/atom

=====

# TbMnCoP2 | the Alexandria database | PBE | optimized geometry
data_TbMnCoP2
_chemical_formula_sum 'Tb2 Mn2 Co2 P4'
_symmetry_space_group_name_H-M 'I -4 m 2'
_symmetry_Int_Tables_number 119
_symmetry_space_group_name_Hall 'I -4 -2'
_cell_length_a 3.837
_cell_length_b 3.837
_cell_length_c 9.630
_cell_angle_alpha 90.00
_cell_angle_beta 90.00
_cell_angle_gamma 90.00
loop_
_atom_site_label
_atom_site_fract_x
_atom_site_fract_y
_atom_site_fract_z
Tb1 0.000 0.000 0.000
Mn1 0.000 0.500 0.750
Co1 0.000 0.500 0.250
P1 0.000 0.000 0.367
# **Calculated total energy**: -7.345 eV/atom

=====

# MgNi2Hg2 | the Alexandria database | PBE | optimized geometry
data_MgNi2Hg2
_chemical_formula_sum 'Mg2 Ni4 Hg4'
_symmetry_space_group_name_H-M 'I 4/m m m'
_symmetry_Int_Tables_number 139
_symmetry_space_group_name_Hall '-I 4 2'
_cell_length_a 3.587
_cell_length_b 3.587
_cell_length_c 13.897
_cell_angle_alpha 90.00
_cell_angle_beta 90.00
_cell_angle_gamma 90.00
loop_
_atom_site_label
_atom_site_fract_x
_atom_site_fract_y
_atom_site_fract_z
Mg1 0.000 0.000 0.000
Ni1 0.000 0.500 0.250
Hg1 0.000 0.000 0.390
# **E above lowest polymorph**: 3.393 kcal/mol of atoms

=====

# AcGa2Si | the Alexandria database | PBE | optimized geometry
data_AcGa2Si
_chemical_formula_sum 'Ac4 Ga8 Si4'
_symmetry_space_group_name_H-M 'C m c m'
_symmetry_Int_Tables_number 63
_symmetry_space_group_name_Hall '-C 2c 2'
_cell_length_a 4.681
_cell_length_b 17.233
_cell_length_c 4.514
_cell_angle_alpha 90.00
_cell_angle_beta 90.00
_cell_angle_gamma 90.00
loop_
_atom_site_label
_atom_site_fract_x
_atom_site_fract_y
_atom_site_fract_z
Ac1 0.000 0.105 0.250
Ga1 0.000 0.249 0.750
Ga2 0.000 0.464 0.250
Si1 0.000 0.320 0.250
# **Uncorrected formation energy**: -0.46 eV/atom
# **E above lowest polymorph**: 0.000 kcal/mol of atoms

=====

# PmYIrCl | the Alexandria database | PBE | optimized geometry
data_PmYIrCl
_chemical_formula_sum 'Pm2 Y2 Ir2 Cl2'
_symmetry_space_group_name_H-M 'C 1 m 1'
_symmetry_Int_Tables_number 8
_symmetry_space_group_name_Hall 'C -2y'
_cell_length_a 7.034
_cell_length_b 4.063
_cell_length_c 7.915
_cell_angle_alpha 90.00
_cell_angle_beta 107.19
_cell_angle_gamma 90.00
loop_
_atom_site_label
_atom_site_fract_x
_atom_site_fract_y
_atom_site_fract_z
Pm1 0.000 0.000 0.000
Y1 0.202 0.000 0.605
Ir1 0.100 0.500 0.798
Cl1 0.275 0.500 0.323
# **Uncorrected formation energy**: -1.16 eV/atom

=====

# LaRe2SiC | the Alexandria database | PBE | optimized geometry
data_LaRe2SiC
_chemical_formula_sum 'La4 Re8 Si4 C4'
_symmetry_space_group_name_H-M 'C m c m'
_symmetry_Int_Tables_number 63
_symmetry_space_group_name_Hall '-C 2c 2'
_cell_length_a 4.081
_cell_length_b 10.978
_cell_length_c 7.420
_cell_angle_alpha 90.00
_cell_angle_beta 90.00
_cell_angle_gamma 90.00
loop_
_atom_site_label
_atom_site_fract_x
_atom_site_fract_y
_atom_site_fract_z
La1 0.000 0.043 0.250
Re1 0.000 0.325 0.061
Si1 0.000 0.235 0.750
C1 0.000 0.500 0.000
# **Uncorrected formation energy**: -0.42 eV/atom